[1]
Density functional theory data (GGA-PBE) for a geometry-optimized CaGeSb3 structure.

The space group is Pm-3m (No. 221) and the conventional cell measures 5.6677, 5.6677 and 5.6677 Å, with angles of 90.00, 90.00 and 90.00 degrees. The inequivalent atoms are Ca at (0.0000, 0.0000, 0.0000), Ge at (0.5000, 0.5000, 0.5000) and Sb at (0.0000, 0.0000, 0.5000).

Its relative energy among the computed polymorphs is 639 meV/atom. For the uncorrected formation energy, the calculation gives 0.807 eV per atom.



[2]
Density functional theory data (GGA-PBE) for a geometry-optimized Cs2TlOF structure.

The space group is P4/mmm (No. 123) and the conventional cell measures 6.9059, 6.9059 and 4.5252 Å, with angles of 90.00, 90.00 and 90.00 degrees. The inequivalent atoms are Cs at (0.0000, 0.5000, 0.0000), Tl at (0.0000, 0.0000, 0.0000), O at (0.0000, 0.0000, 0.5000) and F at (0.5000, 0.5000, 0.5000).

For the uncorrected formation energy, the calculation gives -0.922 eV per atom.



[3]
Density functional theory data (GGA-PBE) for a geometry-optimized Tl4H12I structure.

The space group is Im-3 (No. 204) and the conventional cell measures 8.5176, 8.5176 and 8.5176 Å, with angles of 90.00, 90.00 and 90.00 degrees. The inequivalent atoms are Tl at (0.2500, 0.2500, 0.2500), H at (0.0000, 0.4546, 0.1557) and I at (0.0000, 0.0000, 0.0000).

The calculation puts the total energy at -2.862 eV/atom.



The records above give, respectively, D(E_F) values of 5.011 1.079 20.989 states/eV/cell.